Material: KYSn
Method: DFT, GGA-PBE
State: relaxed

Values from the calculation:
The formation energy comes out at -0.244 eV/atom. The calculation puts the polymorph energy (0 for the lowest one) at 152 meV per atom.

a b c (Å): 4.3840 13.6561 7.8653
angles (deg): 90.00 90.00 90.00
Space group Cmcm (No. 63)
One atom of each set of equivalent atoms:
K 0.0000 0.2166 0.2500 [4 per cell]
Y 0.0000 0.5000 0.0000 [4 per cell]
Sn 0.0000 0.0705 0.7500 [4 per cell]